A plane-wave DFT calculation with PBE-GGA was carried out for an optimized crystal structure of Tm5Cu4Ag.

Lattice parameters (Å, degrees): 3.433 3.433 17.377 90.00 90.00 90.00
Space group P4/mmm (No. 123)
Asymmetric unit:
Tm (0.000, 0.000, 0.000)
Tm (0.000, 0.000, 0.196)
Tm (0.000, 0.000, 0.391)
Cu (0.500, 0.500, 0.098)
Cu (0.500, 0.500, 0.294)
Ag (0.500, 0.500, 0.500)

## Properties
E_tot = -4.3055 eV/atom
Total magnetic moment = 0.01 μB per formula unit
ΔH_f (0 K) = -299 meV/atom